(1)
Here is crystalline Sr2Pr at its relaxed geometry from OQMD via LeMat-Bulk. Energies are from PBE-GGA.

## Properties
excess energy over the best structure of this formula in the dataset: 0 meV/atom
total moment: 2.729 Bohr magnetons per cell

Cell and atoms, written as POSCAR:
```
Sr2Pr
1.0
0.000 5.250 5.250
5.250 0.000 5.250
5.250 5.250 0.000
Sr Pr
4 2
Cartesian
0.000 0.000 0.000 Sr
2.625 2.625 0.000 Sr
2.625 0.000 2.625 Sr
0.000 2.625 2.625 Sr
3.938 3.938 3.938 Pr
6.563 6.563 6.563 Pr
```

---

(2)
Here is crystalline LiCuPtW at its relaxed geometry from OQMD via LeMat-Bulk. Energies are from PBE-GGA.

## Properties
excess energy over the best structure of this formula in the dataset: 0 meV/atom
total moment: 0.000 Bohr magnetons per cell

Cell and atoms, written as POSCAR:
```
LiCuPtW
1.0
0.000 3.033 3.033
3.033 0.000 3.033
3.033 3.033 0.000
Li Cu Pt W
1 1 1 1
Cartesian
0.000 0.000 0.000 Li
4.550 4.550 4.550 Cu
1.517 1.517 1.517 Pt
3.033 3.033 3.033 W
```

---

(3)
Here is crystalline CdMoPd at its relaxed geometry from OQMD via LeMat-Bulk. Energies are from PBE-GGA.

## Properties
excess energy over the best structure of this formula in the dataset: 0 meV/atom
formation enthalpy at 0 K: 0.52 eV/atom
total moment: 0.003 Bohr magnetons per cell

Cell and atoms, written as POSCAR:
```
CdMoPd
1.0
0.000 3.068 3.068
3.068 0.000 3.068
3.068 3.068 0.000
Cd Mo Pd
1 1 1
Cartesian
0.000 0.000 0.000 Cd
3.068 3.068 3.068 Mo
1.534 1.534 1.534 Pd
```

---

(4)
Here is crystalline Y2MgNi2 at its relaxed geometry from OQMD via LeMat-Bulk. Energies are from PBE-GGA.

## Properties
final energy: -5.506 eV/atom
total moment: 0.000 Bohr magnetons per cell

Cell and atoms, written as POSCAR:
```
Y2MgNi2
1.0
7.352 0.000 0.000
0.000 7.352 0.000
0.000 0.000 3.764
Y Mg Ni
4 2 4
Cartesian
1.276 2.400 0.000 Y
2.400 6.076 0.000 Y
4.952 1.276 0.000 Y
6.076 4.952 0.000 Y
0.000 0.000 1.882 Mg
3.676 3.676 1.882 Mg
0.878 4.554 1.882 Ni
2.798 0.878 1.882 Ni
4.554 6.474 1.882 Ni
6.474 2.798 1.882 Ni
```

---

(5)
Here is crystalline Ho3As2O at its relaxed geometry from OQMD via LeMat-Bulk. Energies are from PBE-GGA.

## Properties
final energy: -6.486 eV/atom
total moment: 0.001 Bohr magnetons per cell

Cell and atoms, written as POSCAR:
```
Ho3As2O
1.0
3.879 0.000 0.000
-1.939 3.359 0.000
0.000 0.000 9.415
Ho As O
3 2 1
Cartesian
0.000 0.000 0.000 Ho
0.000 2.239 3.400 Ho
1.939 1.120 6.015 Ho
0.000 2.239 7.680 As
1.939 1.120 1.735 As
0.000 0.000 4.708 O
```

---

(6)
Here is crystalline Dy3FePb at its relaxed geometry from OQMD via LeMat-Bulk. Energies are from PBE-GGA.

## Properties
final energy: -5.260 eV/atom
total moment: 2.017 Bohr magnetons per cell

Cell and atoms, written as POSCAR:
```
Dy3FePb
1.0
4.348 2.510 3.873
-4.348 2.510 3.873
0.000 -5.020 3.873
Dy Fe Pb
6 2 2
Cartesian
-2.750 0.257 4.841 Dy
-1.598 -2.253 6.778 Dy
1.152 -2.510 4.841 Dy
-1.152 2.510 6.778 Dy
1.598 2.253 4.841 Dy
2.750 -0.257 6.778 Dy
0.000 0.000 0.000 Fe
0.000 0.000 5.810 Fe
0.000 0.000 2.905 Pb
0.000 0.000 8.715 Pb
```

---

Look up the total moment of the second one.
0.000 Bohr magnetons per cell

---

Copy entry 4 word for word.
Here is crystalline Y2MgNi2 at its relaxed geometry from OQMD via LeMat-Bulk. Energies are from PBE-GGA.

## Properties
final energy: -5.506 eV/atom
total moment: 0.000 Bohr magnetons per cell

Cell and atoms, written as POSCAR:
```
Y2MgNi2
1.0
7.352 0.000 0.000
0.000 7.352 0.000
0.000 0.000 3.764
Y Mg Ni
4 2 4
Cartesian
1.276 2.400 0.000 Y
2.400 6.076 0.000 Y
4.952 1.276 0.000 Y
6.076 4.952 0.000 Y
0.000 0.000 1.882 Mg
3.676 3.676 1.882 Mg
0.878 4.554 1.882 Ni
2.798 0.878 1.882 Ni
4.554 6.474 1.882 Ni
6.474 2.798 1.882 Ni
```

---

Repeat the first record exactly.
Here is crystalline Sr2Pr at its relaxed geometry from OQMD via LeMat-Bulk. Energies are from PBE-GGA.

## Properties
excess energy over the best structure of this formula in the dataset: 0 meV/atom
total moment: 2.729 Bohr magnetons per cell

Cell and atoms, written as POSCAR:
```
Sr2Pr
1.0
0.000 5.250 5.250
5.250 0.000 5.250
5.250 5.250 0.000
Sr Pr
4 2
Cartesian
0.000 0.000 0.000 Sr
2.625 2.625 0.000 Sr
2.625 0.000 2.625 Sr
0.000 2.625 2.625 Sr
3.938 3.938 3.938 Pr
6.563 6.563 6.563 Pr
```